This record from Alexandria describes Rb2Co3PbF12 after structural relaxation. The functional is GGA+U.

magnetic moment = 0.389 μB per atom
V = 15.814 Å³ per atom
E = -83.34 eV/cell

Cell lengths 7.229, 7.229, 7.229 Å; angles 62.95, 62.95, 62.95 degrees
Fractional coordinates of all 18 atoms:
Rb 0.111 0.111 0.111
Rb 0.889 0.889 0.889
Co 0.000 0.500 0.500
Co 0.500 0.000 0.500
Co 0.500 0.500 0.000
Pb 0.500 0.500 0.500
F 0.082 0.622 0.622
F 0.220 0.220 0.602
F 0.220 0.602 0.220
F 0.378 0.378 0.918
F 0.378 0.918 0.378
F 0.398 0.780 0.780
F 0.602 0.220 0.220
F 0.622 0.082 0.622
F 0.622 0.622 0.082
F 0.780 0.398 0.780
F 0.780 0.780 0.398
F 0.918 0.378 0.378